[1]
A plane-wave DFT calculation with PBE was carried out for crystalline NaScRhF6 at its relaxed geometry.

Values from the calculation:
The raw formation energy comes out at -2327.2 kJ/mol of formula units. The value obtained for the density is 3.63 g/cm³. The value obtained for the total energy is -100.700 eV/cell. Its symmetry is P-31c.

Geometry as CIF:
```
data_NaScRhF6
_space_group_name_H-M_alt 'P 1'
_space_group_IT_number 1
_cell_length_a 5.490
_cell_length_b 5.490
_cell_length_c 9.977
_cell_angle_alpha 90.00
_cell_angle_beta 90.00
_cell_angle_gamma 120.00
loop_
_space_group_symop_operation_xyz
'x,y,z'
loop_
_atom_site_label
_atom_site_type_symbol
_atom_site_fract_x
_atom_site_fract_y
_atom_site_fract_z
Na1 Na 0.000 0.000 0.000
Na2 Na 0.000 0.000 0.500
Sc1 Sc 0.333 0.667 0.250
Sc2 Sc 0.667 0.333 0.750
Rh1 Rh 0.333 0.667 0.750
Rh2 Rh 0.667 0.333 0.250
F1 F 0.017 0.358 0.137
F2 F 0.017 0.659 0.363
F3 F 0.341 0.358 0.363
F4 F 0.341 0.983 0.137
F5 F 0.358 0.017 0.637
F6 F 0.358 0.341 0.863
F7 F 0.642 0.659 0.137
F8 F 0.642 0.983 0.363
F9 F 0.659 0.017 0.863
F10 F 0.659 0.642 0.637
F11 F 0.983 0.341 0.637
F12 F 0.983 0.642 0.863
```

***

[2]
A plane-wave DFT calculation with PBE was carried out for crystalline Na2RhSeF at its relaxed geometry.

Values from the calculation:
The raw formation energy comes out at -352.3 kJ/mol of formula units. The value obtained for the density is 4.36 g/cm³. The value obtained for the total energy is -18.997 eV/cell. Its symmetry is P4/mmm.

Geometry as CIF:
```
data_Na2RhSeF
_space_group_name_H-M_alt 'P 1'
_space_group_IT_number 1
_cell_length_a 3.987
_cell_length_b 3.987
_cell_length_c 5.912
_cell_angle_alpha 90.00
_cell_angle_beta 90.00
_cell_angle_gamma 90.00
loop_
_space_group_symop_operation_xyz
'x,y,z'
loop_
_atom_site_label
_atom_site_type_symbol
_atom_site_fract_x
_atom_site_fract_y
_atom_site_fract_z
Na1 Na 0.000 0.500 0.000
Na2 Na 0.500 0.000 0.000
Rh1 Rh 0.000 0.000 0.500
Se1 Se 0.500 0.500 0.500
F1 F 0.500 0.500 0.000
```

***

[3]
A plane-wave DFT calculation with PBE was carried out for crystalline Na2SrRhF8 at its relaxed geometry.

Values from the calculation:
The raw formation energy comes out at -2920.5 kJ/mol of formula units. The value obtained for the density is 3.62 g/cm³. The value obtained for the total energy is -56.911 eV/cell. Its symmetry is P2/m.

Geometry as CIF:
```
data_Na2SrRhF8
_space_group_name_H-M_alt 'P 1'
_space_group_IT_number 1
_cell_length_a 4.363
_cell_length_b 7.416
_cell_length_c 5.508
_cell_angle_alpha 90.00
_cell_angle_beta 92.68
_cell_angle_gamma 90.00
loop_
_space_group_symop_operation_xyz
'x,y,z'
loop_
_atom_site_label
_atom_site_type_symbol
_atom_site_fract_x
_atom_site_fract_y
_atom_site_fract_z
Na1 Na 0.000 0.247 0.000
Na2 Na 0.000 0.753 0.000
Sr1 Sr 0.500 0.000 0.500
Rh1 Rh 0.500 0.500 0.500
F1 F 0.035 0.000 0.249
F2 F 0.143 0.500 0.280
F3 F 0.375 0.300 0.710
F4 F 0.375 0.700 0.710
F5 F 0.625 0.300 0.290
F6 F 0.625 0.700 0.290
F7 F 0.857 0.500 0.720
F8 F 0.965 0.000 0.751
```

***

Which of these has the lowest raw formation energy? Na2SrRhF8